The following is a PBE calculation of a relaxed LaZr2Co crystal, from Alexandria.

a b c (Å): 9.221 9.221 9.221
angles (deg): 146.82 146.82 47.63
Element x y z (fractional)
La  0.375  0.625  0.750
La  0.625  0.375  0.250
Zr  0.000  0.000  0.000
Zr  0.000  0.000  0.500
Zr  0.000  0.500  0.000
Zr  0.500  0.000  0.500
Co  0.125  0.875  0.250
Co  0.875  0.125  0.750

## Properties
ΔH_f (0 K) = 75.9 kJ per mole of atoms
total magnetic moment = 0.000 μB per atom
D(E_F) = 1.59 states/eV/atom
calculated volume = 29.234 A^3/atom
energy = -51.96 eV for the cell shown
ΔE to the lowest computed polymorph = 798.4 meV per atom